A relaxed structure of La4Dy3Er. Source: Alexandria, functional PBE.

Total magnetic moment, μB/cell: 0.00
Energy, eV/atom: -4.529

Cell: 25.049 3.457 6.326 Å, 90.00 92.17 90.00°
Space group C2/m (No. 12)
Symmetry-distinct sites (fractional):
La 0.106 0.000 0.242 [4 per cell]
La 0.221 0.500 0.249 [4 per cell]
Dy 0.000 0.000 0.500 [2 per cell]
Dy 0.139 0.000 0.748 [4 per cell]
Er 0.000 0.500 0.000 [2 per cell]

A relaxed structure of LaDy8Er2. Source: Alexandria, functional PBE.

Total magnetic moment, μB/cell: 0.00
Energy, eV/atom: -4.489

Cell: 19.236 6.939 5.510 Å, 90.00 92.92 90.00°
Space group C2/m (No. 12)
Symmetry-distinct sites (fractional):
La 0.000 0.000 0.000 [2 per cell]
Dy 0.047 0.500 0.239 [4 per cell]
Dy 0.135 0.267 0.732 [8 per cell]
Dy 0.190 0.000 0.234 [4 per cell]
Er 0.215 0.500 0.250 [4 per cell]

A relaxed structure of La4Dy5Er2. Source: Alexandria, functional PBE.

Total magnetic moment, μB/cell: 0.00
Energy, eV/atom: -4.646

Cell: 23.287 3.677 9.268 Å, 90.00 110.50 90.00°
Space group C2/m (No. 12)
Symmetry-distinct sites (fractional):
La 0.019 0.000 0.327 [4 per cell]
La 0.175 0.000 0.375 [4 per cell]
Dy 0.000 0.500 0.000 [2 per cell]
Dy 0.124 0.000 0.977 [4 per cell]
Dy 0.242 0.000 0.830 [4 per cell]
Er 0.111 0.500 0.649 [4 per cell]

A relaxed structure of La2Dy3Er4. Source: Alexandria, functional PBE.

Total magnetic moment, μB/cell: 0.00
Energy, eV/atom: -4.473

Cell: 6.107 12.410 15.870 Å, 90.00 90.00 90.00°
Space group Fmmm (No. 69)
Symmetry-distinct sites (fractional):
La 0.000 0.000 0.115 [8 per cell]
Dy 0.000 0.000 0.500 [4 per cell]
Dy 0.250 0.250 0.000 [8 per cell]
Er 0.000 0.144 0.312 [16 per cell]

A relaxed structure of La5Dy3Er. Source: Alexandria, functional PBE.

Total magnetic moment, μB/cell: 0.00
Energy, eV/atom: -4.716

Cell: 15.365 10.100 9.136 Å, 90.00 119.49 90.00°
Space group C2/c (No. 15)
Symmetry-distinct sites (fractional):
La 0.000 0.102 0.250 [4 per cell]
La 0.150 0.090 0.058 [8 per cell]
La 0.178 0.424 0.101 [8 per cell]
Dy 0.084 0.265 0.664 [8 per cell]
Dy 0.250 0.250 0.500 [4 per cell]
Er 0.000 0.429 0.250 [4 per cell]

A relaxed structure of La2DyEr4. Source: Alexandria, functional PBE.

Total magnetic moment, μB/cell: 0.01
Energy, eV/atom: -4.039

Cell: 5.515 5.515 17.350 Å, 90.00 90.00 90.00°
Space group I4/mmm (No. 139)
Symmetry-distinct sites (fractional):
La 0.000 0.000 0.127 [4 per cell]
Dy 0.000 0.000 0.500 [2 per cell]
Er 0.000 0.000 0.326 [4 per cell]
Er 0.000 0.500 0.000 [4 per cell]

A relaxed structure of La2Dy5Er2. Source: Alexandria, functional PBE.

Total magnetic moment, μB/cell: 0.00
Energy, eV/atom: -4.455

Cell: 21.816 3.493 8.262 Å, 90.00 100.32 90.00°
Space group C2/m (No. 12)
Symmetry-distinct sites (fractional):
La 0.179 0.000 0.144 [4 per cell]
Dy 0.000 0.000 0.000 [2 per cell]
Dy 0.094 0.000 0.731 [4 per cell]
Dy 0.191 0.500 0.536 [4 per cell]
Er 0.047 0.500 0.357 [4 per cell]

A relaxed structure of La4Dy2Er. Source: Alexandria, functional PBE.

Total magnetic moment, μB/cell: 0.00
Energy, eV/atom: -4.560

Cell: 6.952 11.588 12.188 Å, 90.00 90.00 90.00°
Space group Imma (No. 74)
Symmetry-distinct sites (fractional):
La 0.000 0.002 0.152 [8 per cell]
La 0.218 0.250 0.992 [8 per cell]
Dy 0.000 0.000 0.500 [4 per cell]
Dy 0.000 0.250 0.714 [4 per cell]
Er 0.250 0.250 0.250 [4 per cell]

A relaxed structure of La3Dy4Er2. Source: Alexandria, functional PBE.

Total magnetic moment, μB/cell: 0.00
Energy, eV/atom: -4.585

Cell: 13.645 13.835 6.464 Å, 90.00 93.63 90.00°
Space group C2/c (No. 15)
Symmetry-distinct sites (fractional):
La 0.000 0.031 0.250 [4 per cell]
La 0.108 0.291 0.105 [8 per cell]
Dy 0.098 0.430 0.584 [8 per cell]
Dy 0.212 0.059 0.057 [8 per cell]
Er 0.141 0.180 0.603 [8 per cell]

A relaxed structure of La2Dy2Er. Source: Alexandria, functional PBE.

Total magnetic moment, μB/cell: 0.00
Energy, eV/atom: -4.593

Cell: 3.563 5.707 32.889 Å, 90.00 90.00 90.00°
Space group Imma (No. 74)
Symmetry-distinct sites (fractional):
La 0.000 0.250 0.186 [4 per cell]
La 0.000 0.250 0.708 [4 per cell]
Dy 0.000 0.250 0.883 [4 per cell]
Dy 0.000 0.250 0.979 [4 per cell]
Er 0.000 0.250 0.427 [4 per cell]

A relaxed structure of La6DyEr2. Source: Alexandria, functional PBE.

Total magnetic moment, μB/cell: 0.00
Energy, eV/atom: -4.692

Cell: 9.479 17.865 3.695 Å, 90.00 90.00 90.00°
Space group Cmmm (No. 65)
Symmetry-distinct sites (fractional):
La 0.172 0.166 0.000 [8 per cell]
La 0.178 0.000 0.500 [4 per cell]
Dy 0.000 0.500 0.000 [2 per cell]
Er 0.000 0.327 0.500 [4 per cell]

A relaxed structure of La12Dy2Er5. Source: Alexandria, functional PBE.

Total magnetic moment, μB/cell: 0.00
Energy, eV/atom: -4.696

Cell: 13.310 11.757 9.569 Å, 90.00 117.46 90.00°
Space group C2/m (No. 12)
Symmetry-distinct sites (fractional):
La 0.061 0.000 0.280 [4 per cell]
La 0.095 0.500 0.418 [4 per cell]
La 0.103 0.241 0.905 [8 per cell]
La 0.216 0.237 0.316 [8 per cell]
Dy 0.000 0.215 0.500 [4 per cell]
Er 0.000 0.500 0.000 [2 per cell]
Er 0.196 0.000 0.730 [4 per cell]
Er 0.220 0.500 0.864 [4 per cell]

Copy entry 5 word for word.
A relaxed structure of La5Dy3Er. Source: Alexandria, functional PBE.

Total magnetic moment, μB/cell: 0.00
Energy, eV/atom: -4.716

Cell: 15.365 10.100 9.136 Å, 90.00 119.49 90.00°
Space group C2/c (No. 15)
Symmetry-distinct sites (fractional):
La 0.000 0.102 0.250 [4 per cell]
La 0.150 0.090 0.058 [8 per cell]
La 0.178 0.424 0.101 [8 per cell]
Dy 0.084 0.265 0.664 [8 per cell]
Dy 0.250 0.250 0.500 [4 per cell]
Er 0.000 0.429 0.250 [4 per cell]

> Among the records above, which one has the lowest energy?

La5Dy3Er